First-principles (PBE-GGA) data for crystalline Tb4PrHg2 at its relaxed geometry, as listed in Alexandria.

Output
Offset from the most stable computed form   0.000 eV per atom
D(E_F)   1.400 states/eV/atom
E_form   -0.093 eV per atom
Uncorrected energy   -3.51 eV per atom

a = 3.5731 Å, b = 9.0662 Å, c = 13.9969 Å
α = 95.93°, β = 82.67°, γ = 78.64°
Closest atoms and distances in Å follow each position.
Positions (direct):
Tb: 0.2733 0.0715 0.3818  3 Hg 3.14-3.25
Tb: 0.8477 0.3284 0.9762  3 Hg 3.12-3.25, 1 Tb 3.48
Tb: 0.0092 0.2578 0.7237  3 Hg 3.10-3.23
Tb: 0.6217 0.4100 0.3465  4 Hg 3.13-3.17
Tb: 0.3783 0.5900 0.6535  4 Hg 3.13-3.17
Tb: 0.9908 0.7422 0.2763  3 Hg 3.10-3.23
Tb: 0.1523 0.6716 0.0238  3 Hg 3.12-3.25, 1 Tb 3.48
Tb: 0.7267 0.9285 0.6182  3 Hg 3.14-3.25
Pr: 0.8967 0.0626 0.1441  2 Hg 3.48, 6 Tb 3.53-3.89, 2 Pr 3.57
Pr: 0.1033 0.9374 0.8559  2 Hg 3.48, 6 Tb 3.53-3.89, 2 Pr 3.57
Hg: 0.6003 0.2585 0.5409  7 Tb 3.10-3.25
Hg: 0.2188 0.4016 0.1609  6 Tb 3.12-3.25, 2 Pr 3.48
Hg: 0.7812 0.5984 0.8391  6 Tb 3.12-3.25, 2 Pr 3.48
Hg: 0.3997 0.7415 0.4591  7 Tb 3.10-3.25


First-principles (PBE-GGA) data for crystalline Ni2OsRh at its relaxed geometry, as listed in Alexandria.

Output
D(E_F)   1.660 states/eV/atom
E_form   0.319 eV per atom
Uncorrected energy   -7.22 eV per atom

a = 2.6116 Å, b = 2.6116 Å, c = 8.7344 Å
α = 90.00°, β = 90.00°, γ = 118.17°
Closest atoms and distances in Å follow each position.
Positions (direct):
Ni: 0.0000 0.0000 0.0094  8 Ni 2.44-2.68, 2 Rh 2.57
Ni: 0.5000 0.5000 0.2425  8 Ni 2.44-2.68, 2 Os 2.55
Os: 0.0000 0.0000 0.4902  2 Ni 2.55, 6 Os 2.61-2.68, 2 Rh 2.70
Rh: 0.5000 0.5000 0.7578  2 Ni 2.57, 6 Rh 2.61-2.68, 2 Os 2.70


First-principles (PBE-GGA) data for crystalline ScIr3Au at its relaxed geometry, as listed in Alexandria.

Output
Offset from the most stable computed form   0.070 eV per atom
D(E_F)   2.592 states/eV/atom
E_form   1.620 eV per atom
Uncorrected energy   -5.62 eV per atom

a = 4.8454 Å, b = 4.8454 Å, c = 4.8454 Å
α = 90.00°, β = 90.00°, γ = 90.00°
Closest atoms and distances in Å follow each position.
Positions (direct):
Sc: 0.5000 0.5000 0.5000  12 Ir 3.43
Ir: 0.0000 0.5000 0.0000  2 Au 2.42
Ir: 0.0000 0.0000 0.5000  2 Au 2.42
Ir: 0.5000 0.0000 0.0000  2 Au 2.42
Au: 0.0000 0.0000 0.0000  6 Ir 2.42


First-principles (PBE-GGA) data for crystalline HfOs2I at its relaxed geometry, as listed in Alexandria.

Output
E_form (uncorrected)   1.29 eV per atom
Offset from the most stable computed form   0.436 eV per atom
D(E_F)   0.528 states/eV/atom
Uncorrected energy   -7.20 eV per atom

a = 5.7341 Å, b = 5.7341 Å, c = 7.4901 Å
α = 67.49°, β = 67.49°, γ = 90.00°
Closest atoms and distances in Å follow each position.
Positions (direct):
I: 0.5000 0.5000 0.0000  4 Os 2.54
I: 0.2500 0.7500 0.5000  4 Os 2.54
Hf: 0.0000 0.0000 0.0000  4 Os 2.59
Hf: 0.7500 0.2500 0.5000  4 Os 2.59
Os: 0.6166 0.1250 0.2500  2 I 2.54, 2 Hf 2.59
Os: 0.1334 0.6250 0.2500  2 I 2.54, 2 Hf 2.59
Os: 0.3750 0.3834 0.7500  2 I 2.54, 2 Hf 2.59
Os: 0.8750 0.8666 0.7500  2 I 2.54, 2 Hf 2.59


First-principles (PBE-GGA) data for crystalline SmY2Cu at its relaxed geometry, as listed in Alexandria.

Output
Offset from the most stable computed form   0.003 eV per atom
D(E_F)   1.174 states/eV/atom
E_form   -0.094 eV per atom
Uncorrected energy   -5.53 eV per atom

a = 3.5207 Å, b = 3.5207 Å, c = 8.7700 Å
α = 90.00°, β = 90.00°, γ = 90.00°
Closest atoms and distances in Å follow each position.
Positions (direct):
Y: 0.0000 0.0000 0.8057  4 Cu 3.02
Y: 0.0000 0.0000 0.1943  4 Cu 3.02
Cu: 0.5000 0.5000 0.0000  8 Y 3.02
Sm: 0.5000 0.5000 0.5000  4 Sm 3.52, 8 Y 3.66


First-principles (PBE-GGA) data for crystalline Ti2Si6W at its relaxed geometry, as listed in Alexandria.

Output
E_form (uncorrected)   -0.50 eV per atom
D(E_F)   0.319 states/eV/atom
Uncorrected energy   -7.31 eV per atom

a = 4.7044 Å, b = 4.7044 Å, c = 6.5222 Å
α = 90.00°, β = 90.00°, γ = 119.96°
Closest atoms and distances in Å follow each position.
Positions (direct):
Ti: 0.5000 0.0000 0.6672  10 Si 2.56-2.78
Ti: 0.0000 0.5000 0.3328  10 Si 2.56-2.78
Si: 0.1658 0.8342 0.0000  5 Si 2.54-2.72, 2 Ti 2.56, 3 W 2.71-2.72
Si: 0.1562 0.3175 0.6660  5 Si 2.53-2.80, 4 Ti 2.57-2.78, 1 W 2.59
Si: 0.6825 0.8438 0.3340  5 Si 2.53-2.80, 4 Ti 2.57-2.78, 1 W 2.59
Si: 0.8342 0.1658 0.0000  5 Si 2.54-2.72, 2 Ti 2.56, 3 W 2.71-2.72
Si: 0.8438 0.6825 0.6660  5 Si 2.53-2.80, 4 Ti 2.57-2.78, 1 W 2.59
Si: 0.3175 0.1562 0.3340  5 Si 2.53-2.80, 4 Ti 2.57-2.78, 1 W 2.59
W: 0.5000 0.5000 0.0000  10 Si 2.59-2.72